Record 1
KNbAg2F8 | PBE | optimized geometry

The structure in extended XYZ format:
```
12
Lattice="-1.184 -3.944 -2.719 3.499 -3.207 -1.350 -0.732 -7.308 6.441" Properties=species:S:1:pos:R:3 pbc="T T T"
K 0.000 0.000 0.000
Nb 0.792 -7.229 1.186
Ag 1.077 -11.207 2.354
Ag 0.507 -3.252 0.018
F 1.456 -5.053 -2.260
F 0.127 -9.405 4.632
F -0.068 -5.592 0.580
F 0.249 -9.087 1.382
F 2.020 -7.638 2.639
F 2.425 -6.370 0.569
F 0.611 -7.781 -0.671
F -0.487 -6.907 2.617
```

Output
The space group is No. 155. The uncorrected energy is -4.88 eV per atom. As for the total magnetization: 0.0 μB per formula unit.


Record 2
La6PdRu2Cl3 | PBE | optimized geometry

The structure in extended XYZ format:
```
12
Lattice="4.156 0.000 0.000 0.000 9.091 -0.190 -2.078 -3.156 9.225" Properties=species:S:1:pos:R:3 pbc="T T T"
La 0.000 5.905 6.074
La 2.078 3.968 3.177
La 2.078 0.029 2.961
La 0.000 2.071 0.254
La 2.078 3.863 8.781
La 0.000 1.966 5.858
Pd 2.078 0.000 0.000
Ru 2.078 3.957 6.089
Ru 0.000 1.977 2.946
Cl 2.078 4.545 -0.095
Cl 2.078 -0.588 6.066
Cl 0.000 6.522 2.969
```

Output
The space group is No. 12. The uncorrected energy is -6.02 eV per atom. As for the total magnetization: 0.0 μB per formula unit.


Record 3
PmPr3Nd12 | PBE | optimized geometry

The structure in extended XYZ format:
```
16
Lattice="-1.942 1.301 -4.658 -2.885 -4.340 -0.009 -15.503 10.287 9.334" Properties=species:S:1:pos:R:3 pbc="T T T"
Pm 0.000 0.000 0.000
Pr -3.868 2.567 2.329
Pr -7.751 5.143 4.667
Pr -11.634 7.720 7.005
Nd -2.414 -1.520 -2.334
Nd -6.280 1.046 -0.006
Nd -10.165 3.624 2.333
Nd -14.050 6.201 4.672
Nd -2.897 1.929 -1.169
Nd -6.781 4.506 1.169
Nd -10.663 7.082 3.506
Nd -14.547 9.659 5.845
Nd -3.369 -0.892 1.155
Nd -7.253 1.685 3.494
Nd -11.135 4.261 5.831
Nd -15.019 6.838 8.169
```

Output
The space group is No. 123. The value obtained for the formation energy is 0.010 eV/atom. The uncorrected energy is -4.76 eV per atom. As for the total magnetization: 0.0 μB per formula unit.


Record 4
Li5Pa3Cl12 | PBE | optimized geometry

The structure in extended XYZ format:
```
80
Lattice="13.299 0.000 0.000 -4.433 12.539 0.000 -4.433 -6.269 10.859" Properties=species:S:1:pos:R:3 pbc="T T T"
Pa 7.758 3.918 1.357
Pa 7.758 8.620 1.357
Pa -1.108 5.486 6.787
Pa 1.108 -0.784 4.072
Pa 9.974 0.000 2.715
Pa 1.108 6.269 2.715
Pa 3.325 0.000 8.144
Pa -5.541 6.269 8.144
Pa 3.325 7.053 6.787
Pa 5.541 0.784 4.072
Pa -3.325 -2.351 9.501
Pa -3.325 2.351 9.501
Li -1.108 3.135 2.715
Li -2.217 6.269 0.000
Li 0.000 0.000 0.000
Li 3.325 2.351 1.357
Li 4.433 -3.135 5.429
Li 4.433 6.269 0.000
Li -3.325 7.053 4.072
Li 5.541 -3.918 9.501
Li 5.541 5.486 4.072
Li 1.108 -3.135 8.144
Li 3.325 9.404 2.715
Li 2.217 3.135 5.429
Li 6.650 0.000 0.000
Li -2.217 -3.135 5.429
Li -1.108 0.784 6.787
Li -1.108 10.188 1.357
Li -4.433 3.135 5.429
Li 7.758 -0.784 6.787
Li 1.108 3.918 9.501
Li 5.541 3.135 8.144
Cl 8.809 1.323 0.333
Cl 0.057 4.085 4.450
Cl 9.938 2.954 3.118
Cl 5.578 1.911 1.312
Cl 1.689 4.661 7.408
Cl 9.467 6.258 1.978
Cl -1.071 7.312 4.430
Cl -3.362 10.627 1.312
Cl 0.528 7.877 7.408
Cl 6.048 6.281 1.978
Cl 6.707 3.508 4.117
Cl 6.707 11.216 0.333
Cl -3.906 5.611 5.763
Cl 2.818 4.562 0.999
Cl -4.491 9.031 4.117
Cl 2.274 -2.185 6.408
Cl -0.528 0.950 2.311
Cl 2.818 7.988 0.979
Cl 5.578 9.585 3.118
Cl -0.601 4.550 0.979
Cl -2.744 7.219 8.547
Cl 3.288 5.227 4.430
Cl 6.122 6.927 5.763
Cl 5.034 -1.707 9.860
Cl 1.145 1.043 6.429
Cl -1.689 -0.658 5.096
Cl -0.601 7.977 0.999
Cl -1.145 -3.315 7.741
Cl 7.177 -0.950 2.311
Cl 5.034 1.719 9.880
Cl 1.615 -1.719 9.880
Cl 2.159 8.454 4.450
Cl 4.961 5.320 8.547
Cl 8.924 -2.762 6.742
Cl 8.339 0.658 5.096
Cl -2.274 -4.946 10.526
Cl 1.615 1.707 9.860
Cl 3.906 -1.608 3.451
Cl -1.615 -0.012 8.881
Cl -2.274 2.762 6.742
Cl 7.795 -4.358 9.547
Cl 5.504 -1.043 6.429
Cl -1.145 4.358 9.547
Cl -5.034 0.012 8.881
Cl 2.744 1.608 3.451
Cl -5.504 3.315 7.741
Cl 4.376 2.185 6.408
Cl -4.376 4.946 10.526
```

Output
The space group is No. 230. The uncorrected energy is -4.53 eV per atom. As for the total magnetization: 7.5 μB per formula unit.


Record 5
Sr2BeN2 | PBE | optimized geometry

The structure in extended XYZ format:
```
20
Lattice="5.293 0.000 0.000 0.000 7.313 0.000 0.000 0.000 9.465" Properties=species:S:1:pos:R:3 pbc="T T T"
Sr 3.970 4.726 5.688
Sr 1.323 6.243 0.955
Sr 1.323 2.587 3.777
Sr 3.970 1.070 8.510
Sr 3.970 0.049 3.079
Sr 1.323 3.608 7.811
Sr 1.323 7.265 6.387
Sr 3.970 3.705 1.654
Be 3.970 1.588 5.282
Be 1.323 2.069 0.549
Be 1.323 5.726 4.183
Be 3.970 5.244 8.916
N 3.970 3.954 8.090
N 1.323 7.016 3.358
N 1.323 3.359 1.375
N 3.970 0.298 6.107
N 3.970 6.181 0.682
N 1.323 4.788 5.415
N 1.323 1.132 8.783
N 3.970 2.525 4.050
```

Output
The space group is No. 62. The energy above the most stable polymorph in this dataset comes out at 26 meV/atom. The uncorrected energy is -5.50 eV per atom. As for the total magnetization: 0.0 μB per formula unit.


Record 6
Th2SiRh5 | PBE | optimized geometry

The structure in extended XYZ format:
```
32
Lattice="-5.671 0.011 -1.506 1.851 -3.817 -7.000 -1.504 -10.970 5.585" Properties=species:S:1:pos:R:3 pbc="T T T"
Th -3.618 -5.482 -3.565
Th -1.707 -9.294 0.643
Th -0.923 -12.233 -2.332
Th -4.402 -2.543 -0.589
Th -3.654 -9.515 -3.459
Th -1.671 -5.261 0.538
Th -0.261 -3.634 -4.762
Th -5.064 -11.142 1.841
Si -4.107 -12.913 -1.776
Si -1.217 -1.863 -1.145
Si -0.733 -6.992 -3.005
Si -4.591 -7.784 0.084
Rh -3.064 -3.594 -5.638
Rh -2.261 -11.182 2.716
Rh -0.829 -9.396 -2.664
Rh -4.496 -5.380 -0.257
Rh -2.987 -12.038 0.077
Rh -2.338 -2.738 -2.998
Rh -1.836 -7.734 -4.927
Rh -5.000 -2.733 -3.705
Rh -3.489 -7.042 2.006
Rh -0.325 -12.043 0.784
Rh -0.827 -7.047 2.713
Rh -4.498 -7.728 -5.634
Rh -2.836 0.006 -0.753
Rh -2.662 -7.388 -1.461
Rh 0.000 0.000 0.000
Rh 0.173 -7.394 -0.708
Rh -5.379 -8.768 3.042
Rh 0.054 -6.007 -5.963
Rh -0.988 -4.945 -2.033
Rh -4.337 -9.831 -0.888
```

Output
The space group is No. 62. The uncorrected energy is -7.96 eV per atom. As for the total magnetization: 0.0 μB per formula unit.


Record 7
CrCu2Rh | PBE | optimized geometry

The structure in extended XYZ format:
```
4
Lattice="-5.713 -1.669 -6.118 -6.229 -3.705 -4.508 -7.373 -1.357 -4.081" Properties=species:S:1:pos:R:3 pbc="T T T"
Cr -14.505 -5.055 -11.044
Cu -0.003 -0.001 -0.002
Cu -4.874 -1.699 -3.711
Rh -9.589 -3.342 -7.301
```

Output
The space group is No. 160. The value obtained for the formation energy is 0.098 eV/atom. The uncorrected energy is -6.19 eV per atom. As for the total magnetization: 0.0 μB per formula unit.


Record 8
SrLa2Pm | PBE | optimized geometry

The structure in extended XYZ format:
```
4
Lattice="-3.505 -1.113 0.899 1.067 -3.618 -0.323 2.788 -0.133 10.710" Properties=species:S:1:pos:R:3 pbc="T T T"
Sr 0.175 -2.433 5.643
La 2.167 -0.104 8.325
La 0.621 -0.030 2.385
Pm -1.219 -2.366 0.288
```

Output
The space group is No. 123. The value obtained for the formation energy is 0.075 eV/atom. The energy above the most stable polymorph in this dataset comes out at 0 meV/atom. The uncorrected energy is -4.00 eV per atom. As for the total magnetization: 0.0 μB per formula unit.


Record 9
Ba5SrCa8 | PBE | optimized geometry

The structure in extended XYZ format:
```
14
Lattice="9.876 0.000 -2.098 -5.542 7.452 -3.963 1.207 0.000 10.024" Properties=species:S:1:pos:R:3 pbc="T T T"
Ba -0.947 2.901 0.309
Ba 3.128 6.650 -3.358
Ba 5.528 4.551 2.967
Ba 5.542 0.000 3.963
Ba 3.375 0.802 8.008
Sr 0.604 3.726 5.012
Ca -2.411 5.807 -2.606
Ca 9.327 0.717 4.648
Ca 5.418 1.636 0.175
Ca 6.464 3.009 6.634
Ca 2.826 4.442 0.009
Ca 1.872 6.735 3.360
Ca 2.296 1.645 2.524
Ca -3.625 5.815 1.108
```

Output
The space group is No. 82. The value obtained for the formation energy is 0.156 eV/atom. The uncorrected energy is -1.79 eV per atom. As for the total magnetization: 0.0 μB per formula unit.


Record 10
Cd2AgHg | PBE | optimized geometry

The structure in extended XYZ format:
```
4
Lattice="3.744 0.000 0.000 0.000 3.744 0.000 0.000 0.000 6.133" Properties=species:S:1:pos:R:3 pbc="T T T"
Hg 0.000 0.000 3.082
Ag 1.872 1.872 4.643
Cd 0.000 0.000 6.069
Cd 1.872 1.872 1.541
```

Output
The space group is No. 99. The value obtained for the formation energy is 0.021 eV/atom. The uncorrected energy is -1.22 eV per atom. As for the total magnetization: 0.0 μB per formula unit.


Record 11
HgSbAu | PBE | optimized geometry

The structure in extended XYZ format:
```
6
Lattice="4.926 -0.135 -0.268 0.125 5.455 -0.448 0.380 0.541 6.685" Properties=species:S:1:pos:R:3 pbc="T T T"
Sb 4.992 1.283 0.283
Sb 0.439 4.578 5.686
Au 2.591 1.439 1.517
Au 2.840 4.422 4.453
Hg 2.767 1.676 4.448
Hg 2.664 4.185 1.521
```

Output
The space group is No. 11. The uncorrected energy is -2.52 eV per atom. As for the total magnetization: 0.0 μB per formula unit.


Record 12
NaInP2Se8 | PBE | optimized geometry

The structure in extended XYZ format:
```
12
Lattice="6.135 0.000 0.000 3.068 5.313 0.000 3.068 1.771 9.458" Properties=species:S:1:pos:R:3 pbc="T T T"
Na 6.135 3.542 4.729
In 0.000 0.000 0.000
P 3.068 1.771 2.457
P 9.203 5.313 7.001
Se 3.068 1.771 4.658
Se 5.230 2.031 1.760
Se 9.203 5.313 4.800
Se 7.897 3.514 1.760
Se 4.374 3.571 7.698
Se 5.279 5.082 1.760
Se 6.991 2.003 7.698
Se 7.041 5.054 7.698
```

Output
The space group is No. 148. The uncorrected energy is -3.71 eV per atom. As for the total magnetization: 0.0 μB per formula unit.


Record 13
Er4ZnSi3 | PBE | optimized geometry

The structure in extended XYZ format:
```
8
Lattice="4.191 0.000 0.000 0.000 3.899 0.000 0.000 0.000 10.597" Properties=species:S:1:pos:R:3 pbc="T T T"
Er 2.096 1.949 3.840
Er 0.000 1.949 9.072
Er 0.000 0.000 1.520
Er 2.096 0.000 6.787
Zn 2.096 1.949 0.765
Si 0.000 1.949 6.110
Si 0.000 0.000 4.523
Si 2.096 0.000 9.769
```

Output
The space group is No. 25. The uncorrected energy is -5.17 eV per atom. As for the total magnetization: 0.0 μB per formula unit.


Record 14
Ba5CuIr | PBE | optimized geometry

The structure in extended XYZ format:
```
14
Lattice="-3.508 -0.854 -7.009 -2.467 -7.439 0.857 -7.338 6.925 6.768" Properties=species:S:1:pos:R:3 pbc="T T T"
Ba -6.065 -6.539 -3.775
Ba -7.197 0.614 -2.352
Ba -6.884 1.943 1.641
Ba -3.337 -0.284 0.084
Ba -2.515 -5.016 -0.927
Ba -10.798 3.648 1.543
Ba -9.975 -1.085 0.532
Ba -6.429 -3.312 -1.026
Ba -6.116 -1.982 2.968
Ba -7.248 5.170 4.391
Cu -6.508 -3.275 -4.371
Cu -6.805 1.907 4.987
Ir 0.000 0.000 0.000
Ir -6.656 -0.684 0.308
```

Output
The space group is No. 15. The value obtained for the formation energy is -0.021 eV/atom. The uncorrected energy is -3.25 eV per atom. As for the total magnetization: 0.0 μB per formula unit.


Record 15
Mg2Tl | PBE | optimized geometry

The structure in extended XYZ format:
```
3
Lattice="-2.782 3.466 -2.486 0.936 -4.526 -2.140 -2.728 -1.210 1.366" Properties=species:S:1:pos:R:3 pbc="T T T"
Tl 0.000 0.000 0.000
Mg -2.309 0.463 -1.987
Mg -2.265 -2.732 -1.273
```

Output
The space group is No. 164. The value obtained for the formation energy is -0.007 eV/atom. The uncorrected energy is -1.86 eV per atom. As for the total magnetization: 0.0 μB per formula unit.


Record 16
Ac2InNi3 | PBE | optimized geometry

The structure in extended XYZ format:
```
12
Lattice="6.241 0.085 0.000 -0.157 6.240 0.000 -3.042 -3.162 7.356" Properties=species:S:1:pos:R:3 pbc="T T T"
Ac -0.079 3.120 3.678
Ac 4.694 4.880 0.000
Ac 3.121 0.043 3.678
Ac 1.389 1.444 0.000
In 3.042 3.162 2.388
In 0.000 0.000 4.968
Ni 1.363 4.777 1.201
Ni -1.679 1.615 6.155
Ni 1.679 -1.615 6.155
Ni 4.720 1.548 1.201
Ni 0.000 0.000 2.350
Ni 3.042 3.162 5.005
```

Output
The space group is No. 69. The value obtained for the formation energy is -0.238 eV/atom. The uncorrected energy is -4.95 eV per atom. As for the total magnetization: 0.0 μB per formula unit.


Record 17
In4TcHg | PBE | optimized geometry

The structure in extended XYZ format:
```
6
Lattice="0.000 4.100 4.100 4.100 0.000 4.100 4.100 4.100 0.000" Properties=species:S:1:pos:R:3 pbc="T T T"
In 3.079 5.121 5.121
In 5.121 5.121 3.079
In 5.121 3.079 5.121
In 3.079 3.079 3.079
Tc 6.150 6.150 6.150
Hg 0.000 0.000 0.000
```

Output
The space group is No. 216. The value obtained for the formation energy is 0.667 eV/atom. The uncorrected energy is -2.94 eV per atom. As for the total magnetization: 0.0 μB per formula unit.


Record 18
MgOsCl2 | PBE | optimized geometry

The structure in extended XYZ format:
```
4
Lattice="11.299 -0.003 -0.002 10.862 3.114 -0.002 10.862 1.524 2.715" Properties=species:S:1:pos:R:3 pbc="T T T"
Cl 31.809 4.464 2.611
Cl 17.726 2.488 1.455
Mg 8.256 1.159 0.678
Os 24.767 3.476 2.033
```

Output
The space group is No. 166. The energy above the most stable polymorph in this dataset comes out at 262 meV/atom. The uncorrected energy is -4.09 eV per atom. As for the total magnetization: 2.2 μB per formula unit.